P) ## ErHf3 (GGA-PBE)

Data for an optimized crystal structure of ErHf3.

Lattice parameters (Å, degrees): 6.107 6.107 6.107 149.03 64.94 124.48
Sites, in units of the cell vectors:
Er: 0.000 0.000 0.000
Hf: 0.421 0.667 0.754
Hf: 0.497 0.997 0.500
Hf: 0.913 0.667 0.246

## Properties
- crystal system = orthorhombic
- total magnetic moment (μB/cell) = 0.00
- DOS(E_F) (states/eV/cell) = 3.46

***

Q) ## ErHf3 (GGA-PBE)

Data for an optimized crystal structure of ErHf3.

Lattice parameters (Å, degrees): 4.568 4.568 4.568 90.00 90.00 90.00
Sites, in units of the cell vectors:
Er: 0.000 0.000 0.000
Hf: 0.000 0.500 0.500
Hf: 0.500 0.000 0.500
Hf: 0.500 0.500 0.000

## Properties
- crystal system = cubic
- total magnetic moment (μB/cell) = 0.00
- DOS(E_F) (states/eV/cell) = 5.26

***

Question: of the structures shown, which is the most stable? Reply: P).